MgCdTe2 (PBE-GGA, relaxed); VASP energy = -10.42 eV per formula unit; DOS(E_F) = 0.0000 states/eV/atom; ΔE_f (raw) = -406 meV per atom; symmetry = R-3m
1.0
-0.123 0.004 8.605
2.866 -3.256 7.433
4.157 1.134 7.449
Te Cd Mg
2 1 1
Direct
0.109 0.109 0.109
0.891 0.891 0.891
0.000 0.000 0.000
0.500 0.500 0.500